Entry 1:
VASP calculation (PBE) on a relaxed TlSbPb6 crystal.

Formation energy without anion corrections ... 16.9 kJ/mol of atoms
Offset from the most stable computed form ... 141 meV per atom

abc: 6.542 6.542 6.542
angles: 88.40 88.40 88.40
Positions (direct):
Tl (0.000, 0.000, 0.000)
Sb (0.500, 0.500, 0.500)
Pb (0.168, 0.168, 0.551)
Pb (0.168, 0.551, 0.168)
Pb (0.449, 0.832, 0.832)
Pb (0.551, 0.168, 0.168)
Pb (0.832, 0.449, 0.832)
Pb (0.832, 0.832, 0.449)

Entry 2:
VASP calculation (PBE) on a relaxed Tl5SbPb4 crystal.

Formation energy without anion corrections ... 0.5 kJ/mol of atoms

abc: 3.496 3.496 25.151
angles: 90.00 90.00 90.00
Positions (direct):
Tl (0.000, 0.000, 0.000)
Tl (0.000, 0.000, 0.200)
Tl (0.000, 0.000, 0.403)
Tl (0.000, 0.000, 0.597)
Tl (0.000, 0.000, 0.800)
Sb (0.500, 0.500, 0.500)
Pb (0.500, 0.500, 0.100)
Pb (0.500, 0.500, 0.300)
Pb (0.500, 0.500, 0.700)
Pb (0.500, 0.500, 0.900)

Entry 3:
VASP calculation (PBE) on a relaxed Tl2Sb2Pb crystal.

Formation energy without anion corrections ... 2.9 kJ/mol of atoms
Offset from the most stable computed form ... 27 meV per atom

abc: 8.109 8.109 5.182
angles: 90.00 90.00 90.00
Positions (direct):
Tl (0.176, 0.324, 0.000)
Tl (0.324, 0.824, 0.000)
Tl (0.676, 0.176, 0.000)
Tl (0.824, 0.676, 0.000)
Sb (0.124, 0.624, 0.500)
Sb (0.376, 0.124, 0.500)
Sb (0.624, 0.876, 0.500)
Sb (0.876, 0.376, 0.500)
Pb (0.000, 0.000, 0.500)
Pb (0.500, 0.500, 0.500)

Entry 4:
VASP calculation (PBE) on a relaxed Tl6Sb2Pb crystal.

Formation energy without anion corrections ... -0.1 kJ/mol of atoms
Offset from the most stable computed form ... 0 meV per atom

abc: 6.303 6.303 10.733
angles: 108.64 108.64 44.09
Positions (direct):
Tl (0.003, 0.003, 0.326)
Tl (0.329, 0.329, 0.438)
Tl (0.332, 0.332, 0.109)
Tl (0.668, 0.668, 0.891)
Tl (0.671, 0.671, 0.562)
Tl (0.997, 0.997, 0.674)
Sb (0.337, 0.337, 0.783)
Sb (0.663, 0.663, 0.217)
Pb (0.000, 0.000, 0.000)

Entry 5:
VASP calculation (PBE) on a relaxed Tl8Sb2Pb crystal.

Formation energy without anion corrections ... 9.5 kJ/mol of atoms
Offset from the most stable computed form ... 92 meV per atom

abc: 8.485 8.485 6.046
angles: 100.58 100.58 63.75
Positions (direct):
Tl (0.126, 0.746, 0.726)
Tl (0.152, 0.152, 0.821)
Tl (0.254, 0.874, 0.274)
Tl (0.273, 0.273, 0.395)
Tl (0.727, 0.727, 0.605)
Tl (0.746, 0.126, 0.726)
Tl (0.848, 0.848, 0.179)
Tl (0.874, 0.254, 0.274)
Sb (0.391, 0.391, 0.956)
Sb (0.609, 0.609, 0.044)
Pb (0.500, 0.500, 0.500)

Entry 6:
VASP calculation (PBE) on a relaxed Tl3Sb5Pb6 crystal.

Formation energy without anion corrections ... 1.8 kJ/mol of atoms

abc: 4.520 17.688 11.921
angles: 90.00 90.00 90.00
Positions (direct):
Tl (0.250, 0.126, 0.191)
Tl (0.250, 0.374, 0.191)
Tl (0.250, 0.750, 0.275)
Tl (0.750, 0.250, 0.725)
Tl (0.750, 0.626, 0.809)
Tl (0.750, 0.874, 0.809)
Sb (0.250, 0.103, 0.606)
Sb (0.250, 0.397, 0.606)
Sb (0.250, 0.619, 0.028)
Sb (0.250, 0.750, 0.719)
Sb (0.250, 0.881, 0.028)
Sb (0.750, 0.119, 0.972)
Sb (0.750, 0.250, 0.281)
Sb (0.750, 0.381, 0.972)
Sb (0.750, 0.603, 0.394)
Sb (0.750, 0.897, 0.394)
Pb (0.250, 0.030, 0.854)
Pb (0.250, 0.250, 0.460)
Pb (0.250, 0.250, 0.955)
Pb (0.250, 0.470, 0.854)
Pb (0.250, 0.578, 0.566)
Pb (0.250, 0.922, 0.566)
Pb (0.750, 0.078, 0.434)
Pb (0.750, 0.422, 0.434)
Pb (0.750, 0.530, 0.146)
Pb (0.750, 0.750, 0.045)
Pb (0.750, 0.750, 0.540)
Pb (0.750, 0.970, 0.146)

Entry 7:
VASP calculation (PBE) on a relaxed Tl2SbPb2 crystal.

Formation energy without anion corrections ... 15.1 kJ/mol of atoms
Offset from the most stable computed form ... 138 meV per atom

abc: 9.186 9.186 9.186
angles: 152.53 152.53 39.25
Positions (direct):
Tl (0.250, 0.750, 0.500)
Tl (0.750, 0.250, 0.500)
Sb (0.000, 0.000, 0.000)
Pb (0.410, 0.410, 0.000)
Pb (0.590, 0.590, 0.000)

Entry 8:
VASP calculation (PBE) on a relaxed Tl7Sb2Pb2 crystal.

Formation energy without anion corrections ... 2.4 kJ/mol of atoms
Offset from the most stable computed form ... 0 meV per atom

abc: 7.771 7.771 6.203
angles: 99.48 99.48 97.37
Positions (direct):
Tl (0.000, 0.000, 0.000)
Tl (0.167, 0.454, 0.271)
Tl (0.179, 0.878, 0.498)
Tl (0.440, 0.742, 0.064)
Tl (0.454, 0.167, 0.271)
Tl (0.742, 0.440, 0.064)
Tl (0.878, 0.179, 0.498)
Sb (0.018, 0.594, 0.776)
Sb (0.594, 0.018, 0.776)
Pb (0.315, 0.315, 0.770)
Pb (0.623, 0.623, 0.572)

Entry 9:
VASP calculation (PBE) on a relaxed Tl6SbPb crystal.

Formation energy without anion corrections ... 0.3 kJ/mol of atoms
Offset from the most stable computed form ... 0 meV per atom

abc: 4.946 4.946 10.059
angles: 90.00 90.00 90.00
Positions (direct):
Tl (0.000, 0.000, 0.000)
Tl (0.000, 0.000, 0.500)
Tl (0.000, 0.500, 0.243)
Tl (0.000, 0.500, 0.757)
Tl (0.500, 0.000, 0.243)
Tl (0.500, 0.000, 0.757)
Sb (0.500, 0.500, 0.000)
Pb (0.500, 0.500, 0.500)

Entry 10:
VASP calculation (PBE) on a relaxed Tl10SbPb4 crystal.

Formation energy without anion corrections ... 9.3 kJ/mol of atoms

abc: 9.233 9.233 9.233
angles: 99.79 99.79 131.29
Positions (direct):
Tl (0.049, 0.148, 0.701)
Tl (0.148, 0.447, 0.098)
Tl (0.250, 0.750, 0.500)
Tl (0.348, 0.049, 0.902)
Tl (0.447, 0.348, 0.299)
Tl (0.553, 0.652, 0.701)
Tl (0.652, 0.951, 0.098)
Tl (0.750, 0.250, 0.500)
Tl (0.852, 0.553, 0.902)
Tl (0.951, 0.852, 0.299)
Sb (0.000, 0.000, 0.000)
Pb (0.200, 0.598, 0.799)
Pb (0.402, 0.200, 0.602)
Pb (0.598, 0.800, 0.398)
Pb (0.800, 0.402, 0.201)

Entry 11:
VASP calculation (PBE) on a relaxed Tl2Sb3Pb2 crystal.

Formation energy without anion corrections ... 4.3 kJ/mol of atoms
Offset from the most stable computed form ... 0 meV per atom

abc: 6.807 6.807 9.530
angles: 127.27 127.27 45.80
Positions (direct):
Tl (0.183, 0.183, 0.086)
Tl (0.817, 0.817, 0.914)
Sb (0.469, 0.469, 0.808)
Sb (0.500, 0.500, 0.500)
Sb (0.531, 0.531, 0.192)
Pb (0.134, 0.134, 0.469)
Pb (0.866, 0.866, 0.531)

Entry 12:
VASP calculation (PBE) on a relaxed Tl16SbPb12 crystal.

Formation energy without anion corrections ... 0.6 kJ/mol of atoms

abc: 10.703 10.703 10.567
angles: 109.52 109.52 109.69
Positions (direct):
Tl (0.000, 0.000, 0.000)
Tl (0.004, 0.004, 0.358)
Tl (0.004, 0.683, 0.759)
Tl (0.283, 0.591, 0.947)
Tl (0.313, 0.719, 0.660)
Tl (0.318, 0.318, 0.072)
Tl (0.354, 0.354, 0.705)
Tl (0.407, 0.999, 0.039)
Tl (0.408, 0.686, 0.354)
Tl (0.591, 0.283, 0.947)
Tl (0.651, 0.995, 0.351)
Tl (0.683, 0.004, 0.759)
Tl (0.686, 0.408, 0.354)
Tl (0.719, 0.313, 0.660)
Tl (0.995, 0.651, 0.351)
Tl (0.999, 0.407, 0.039)
Sb (0.584, 0.584, 0.630)
Pb (0.002, 0.372, 0.543)
Pb (0.182, 0.804, 0.159)
Pb (0.183, 0.994, 0.727)
Pb (0.194, 0.377, 0.353)
Pb (0.372, 0.002, 0.543)
Pb (0.377, 0.194, 0.353)
Pb (0.621, 0.810, 0.963)
Pb (0.631, 0.631, 0.170)
Pb (0.797, 0.797, 0.547)
Pb (0.804, 0.182, 0.159)
Pb (0.810, 0.621, 0.963)
Pb (0.994, 0.183, 0.727)

Entry 13:
VASP calculation (PBE) on a relaxed Tl8Sb2Pb3 crystal.

Formation energy without anion corrections ... 5.1 kJ/mol of atoms

abc: 10.682 10.682 6.075
angles: 91.50 91.50 37.06
Positions (direct):
Tl (0.075, 0.075, 0.428)
Tl (0.080, 0.602, 0.139)
Tl (0.339, 0.339, 0.666)
Tl (0.398, 0.920, 0.861)
Tl (0.602, 0.080, 0.139)
Tl (0.661, 0.661, 0.334)
Tl (0.920, 0.398, 0.861)
Tl (0.925, 0.925, 0.572)
Sb (0.223, 0.223, 0.290)
Sb (0.777, 0.777, 0.710)
Pb (0.257, 0.743, 0.000)
Pb (0.500, 0.500, 0.500)
Pb (0.743, 0.257, 0.000)

Entry 14:
VASP calculation (PBE) on a relaxed Tl2SbPb3 crystal.

Formation energy without anion corrections ... 3.7 kJ/mol of atoms
Offset from the most stable computed form ... 7 meV per atom

abc: 6.674 6.674 10.333
angles: 90.00 90.00 120.00
Positions (direct):
Tl (0.333, 0.667, 0.071)
Tl (0.333, 0.667, 0.429)
Tl (0.667, 0.333, 0.571)
Tl (0.667, 0.333, 0.929)
Sb (0.000, 0.000, 0.000)
Sb (0.000, 0.000, 0.500)
Pb (0.170, 0.340, 0.750)
Pb (0.170, 0.830, 0.750)
Pb (0.340, 0.170, 0.250)
Pb (0.660, 0.830, 0.750)
Pb (0.830, 0.170, 0.250)
Pb (0.830, 0.660, 0.250)

Entry 15:
VASP calculation (PBE) on a relaxed Tl6Sb2Pb crystal.

Formation energy without anion corrections ... 1.8 kJ/mol of atoms
Offset from the most stable computed form ... 19 meV per atom

abc: 11.836 11.836 11.836
angles: 26.60 26.60 26.60
Positions (direct):
Tl (0.094, 0.094, 0.094)
Tl (0.198, 0.198, 0.198)
Tl (0.303, 0.303, 0.303)
Tl (0.697, 0.697, 0.697)
Tl (0.802, 0.802, 0.802)
Tl (0.906, 0.906, 0.906)
Sb (0.398, 0.398, 0.398)
Sb (0.602, 0.602, 0.602)
Pb (0.500, 0.500, 0.500)

Entry 16:
VASP calculation (PBE) on a relaxed Tl2SbPb2 crystal.

Formation energy without anion corrections ... 2.0 kJ/mol of atoms
Offset from the most stable computed form ... 1 meV per atom

abc: 6.481 6.481 10.080
angles: 102.04 102.04 50.50
Positions (direct):
Tl (0.035, 0.035, 0.343)
Tl (0.156, 0.156, 0.047)
Tl (0.844, 0.844, 0.953)
Tl (0.965, 0.965, 0.657)
Sb (0.267, 0.267, 0.712)
Sb (0.733, 0.733, 0.288)
Pb (0.346, 0.346, 0.429)
Pb (0.469, 0.469, 0.145)
Pb (0.531, 0.531, 0.855)
Pb (0.654, 0.654, 0.571)

Entry 17:
VASP calculation (PBE) on a relaxed Tl2SbPb6 crystal.

Formation energy without anion corrections ... 3.3 kJ/mol of atoms
Offset from the most stable computed form ... 0 meV per atom

abc: 8.770 8.770 8.998
angles: 114.73 114.73 85.01
Positions (direct):
Tl (0.037, 0.294, 0.412)
Tl (0.294, 0.037, 0.912)
Tl (0.706, 0.963, 0.088)
Tl (0.963, 0.706, 0.588)
Sb (0.381, 0.619, 0.750)
Sb (0.619, 0.381, 0.250)
Pb (0.072, 0.819, 0.032)
Pb (0.139, 0.411, 0.856)
Pb (0.181, 0.928, 0.468)
Pb (0.279, 0.509, 0.314)
Pb (0.411, 0.139, 0.356)
Pb (0.491, 0.721, 0.186)
Pb (0.509, 0.279, 0.814)
Pb (0.589, 0.861, 0.644)
Pb (0.721, 0.491, 0.686)
Pb (0.819, 0.072, 0.532)
Pb (0.861, 0.589, 0.144)
Pb (0.928, 0.181, 0.968)

Entry 18:
VASP calculation (PBE) on a relaxed Tl6SbPb8 crystal.

Formation energy without anion corrections ... 4.6 kJ/mol of atoms

abc: 8.778 8.778 8.778
angles: 60.43 60.43 60.43
Positions (direct):
Tl (0.041, 0.568, 0.734)
Tl (0.266, 0.959, 0.432)
Tl (0.432, 0.266, 0.959)
Tl (0.568, 0.734, 0.041)
Tl (0.734, 0.041, 0.568)
Tl (0.959, 0.432, 0.266)
Sb (0.500, 0.500, 0.500)
Pb (0.098, 0.807, 0.274)
Pb (0.193, 0.726, 0.902)
Pb (0.274, 0.098, 0.807)
Pb (0.351, 0.351, 0.351)
Pb (0.649, 0.649, 0.649)
Pb (0.726, 0.902, 0.193)
Pb (0.807, 0.274, 0.098)
Pb (0.902, 0.193, 0.726)

Entry 19:
VASP calculation (PBE) on a relaxed Tl3Sb2Pb crystal.

Formation energy without anion corrections ... 0.1 kJ/mol of atoms
Offset from the most stable computed form ... 0 meV per atom

abc: 4.933 10.056 7.874
angles: 90.00 90.00 90.00
Positions (direct):
Tl (0.000, 0.075, 0.000)
Tl (0.000, 0.314, 0.403)
Tl (0.000, 0.686, 0.903)
Tl (0.000, 0.925, 0.500)
Tl (0.500, 0.174, 0.692)
Tl (0.500, 0.826, 0.192)
Sb (0.000, 0.379, 0.812)
Sb (0.000, 0.621, 0.312)
Sb (0.500, 0.155, 0.262)
Sb (0.500, 0.845, 0.762)
Pb (0.500, 0.428, 0.072)
Pb (0.500, 0.572, 0.572)